# 1
Material: La2Be3AlSi4
Method: DFT, PBE
State: optimized geometry

Computed properties:
Energy = -4.999 eV/atom
Formation energy (no corrections) = -0.353 eV per atom
N(E_F) = 5.25 states/eV/cell
Total magnetic moment = 0.0 μB per formula unit

a = 4.125 Å, b = 4.125 Å, c = 9.859 Å
α = 90.00°, β = 90.00°, γ = 90.00°
Fractional positions:
La: 0.000 0.500 0.238
La: 0.500 0.000 0.762
Be: 0.000 0.500 0.884
Be: 0.500 0.000 0.116
Be: 0.500 0.500 0.500
Al: 0.000 0.000 0.500
Si: 0.000 0.000 0.000
Si: 0.000 0.500 0.642
Si: 0.500 0.000 0.358
Si: 0.500 0.500 0.000

# 2
Material: Hf3CCl
Method: DFT, PBE
State: optimized geometry

Computed properties:
Energy = -8.022 eV/atom
Formation energy (no corrections) = 0.164 eV per atom
N(E_F) = 5.70 states/eV/cell
Total magnetic moment = 0.0 μB per formula unit
Energy above the most stable polymorph in this dataset = 0.000 eV per atom

a = 4.539 Å, b = 4.539 Å, c = 4.539 Å
α = 90.00°, β = 90.00°, γ = 90.00°
Fractional positions:
Hf: 0.000 0.000 0.500
Hf: 0.000 0.500 0.000
Hf: 0.500 0.000 0.000
C: 0.000 0.000 0.000
Cl: 0.500 0.500 0.500

# 3
Material: NaRuN2F
Method: DFT, PBE
State: optimized geometry

Computed properties:
Energy = -6.026 eV/atom
Formation energy (no corrections) = -0.203 eV per atom
N(E_F) = 2.33 states/eV/cell
Total magnetic moment = 0.0 μB per formula unit
Energy above the most stable polymorph in this dataset = 0.000 eV per atom

a = 3.782 Å, b = 3.782 Å, c = 4.570 Å
α = 90.00°, β = 90.00°, γ = 90.00°
Fractional positions:
Na: 0.000 0.000 0.000
Ru: 0.500 0.500 0.500
N: 0.000 0.500 0.500
N: 0.500 0.000 0.500
F: 0.500 0.500 0.000